# BiPAuSN | Alexandria | PBE | optimized geometry
data_BiPAuSN
_cell_length_a 3.242
_cell_length_b 5.349
_cell_length_c 6.389
_cell_angle_alpha 68.25
_cell_angle_beta 89.68
_cell_angle_gamma 89.82
_space_group_name_H-M_alt 'P 1'
_space_group_IT_number 1
_space_group_name_Hall 'P 1'
loop_
_atom_site_label
_atom_site_type_symbol
_atom_site_fract_x
_atom_site_fract_y
_atom_site_fract_z
Bi1 Bi 0.000 0.000 0.000
P1 P 0.006 0.265 0.484
Au1 Au 0.005 0.800 0.611
S1 S 0.508 0.448 0.233
N1 N 0.004 0.384 0.680
# E_form (uncorrected) ... 0.174 eV per atom



# BiPAuSN | Alexandria | PBE | optimized geometry
data_BiPAuSN
_cell_length_a 3.933
_cell_length_b 4.932
_cell_length_c 6.580
_cell_angle_alpha 85.15
_cell_angle_beta 79.75
_cell_angle_gamma 84.82
_space_group_name_H-M_alt 'P 1'
_space_group_IT_number 1
_space_group_name_Hall 'P 1'
loop_
_atom_site_label
_atom_site_type_symbol
_atom_site_fract_x
_atom_site_fract_y
_atom_site_fract_z
Bi1 Bi 0.000 0.000 0.000
P1 P 0.831 0.560 0.698
Au1 Au 0.473 0.697 0.217
S1 S 0.956 0.445 0.382
N1 N 0.108 0.765 0.719
# E_form (uncorrected) ... 0.188 eV per atom



# BiPAuSN | Alexandria | PBE | optimized geometry
data_BiPAuSN
_cell_length_a 13.198
_cell_length_b 3.633
_cell_length_c 4.851
_cell_angle_alpha 90.00
_cell_angle_beta 103.38
_cell_angle_gamma 90.00
_space_group_name_H-M_alt 'C 1 m 1'
_space_group_IT_number 8
_space_group_name_Hall 'C -2y'
loop_
_atom_site_label
_atom_site_type_symbol
_atom_site_fract_x
_atom_site_fract_y
_atom_site_fract_z
Bi1 Bi 0.000 0.000 0.000
P1 P 0.391 0.000 0.466
Au1 Au 0.268 0.500 0.467
S1 S 0.146 0.000 0.504
N1 N 0.423 0.000 0.156
# E_form (uncorrected) ... 0.122 eV per atom



# BiPAuSN | Alexandria | PBE | optimized geometry
data_BiPAuSN
_cell_length_a 4.784
_cell_length_b 3.767
_cell_length_c 5.819
_cell_angle_alpha 90.00
_cell_angle_beta 108.96
_cell_angle_gamma 90.00
_space_group_name_H-M_alt 'P 1 m 1'
_space_group_IT_number 6
_space_group_name_Hall 'P -2y'
loop_
_atom_site_label
_atom_site_type_symbol
_atom_site_fract_x
_atom_site_fract_y
_atom_site_fract_z
Bi1 Bi 0.000 0.000 0.000
P1 P 0.769 0.500 0.399
Au1 Au 0.511 0.000 0.502
S1 S 0.206 0.500 0.668
N1 N 0.788 0.500 0.127
# E_form (uncorrected) ... 0.074 eV per atom



# BiPAuSN | Alexandria | PBE | optimized geometry
data_BiPAuSN
_cell_length_a 3.893
_cell_length_b 3.893
_cell_length_c 8.054
_cell_angle_alpha 89.93
_cell_angle_beta 89.85
_cell_angle_gamma 60.01
_space_group_name_H-M_alt 'P 1'
_space_group_IT_number 1
_space_group_name_Hall 'P 1'
loop_
_atom_site_label
_atom_site_type_symbol
_atom_site_fract_x
_atom_site_fract_y
_atom_site_fract_z
Bi1 Bi 0.000 0.000 0.000
P1 P 0.336 0.333 0.642
Au1 Au 0.671 0.667 0.523
S1 S 0.666 0.667 0.203
N1 N 0.335 0.333 0.842
# E_form (uncorrected) ... 0.048 eV per atom



# BiPAuSN | Alexandria | PBE | optimized geometry
data_BiPAuSN
_cell_length_a 10.634
_cell_length_b 2.972
_cell_length_c 5.920
_cell_angle_alpha 90.00
_cell_angle_beta 94.61
_cell_angle_gamma 90.00
_space_group_name_H-M_alt 'C 1 m 1'
_space_group_IT_number 8
_space_group_name_Hall 'C -2y'
loop_
_atom_site_label
_atom_site_type_symbol
_atom_site_fract_x
_atom_site_fract_y
_atom_site_fract_z
Bi1 Bi 0.000 0.000 0.000
P1 P 0.217 0.500 0.565
Au1 Au 0.496 0.000 0.499
S1 S 0.250 0.500 0.926
N1 N 0.286 0.000 0.480
# E_form (uncorrected) ... 0.114 eV per atom



# BiPAuSN | Alexandria | PBE | optimized geometry
data_BiPAuSN
_cell_length_a 4.829
_cell_length_b 4.888
_cell_length_c 4.933
_cell_angle_alpha 76.64
_cell_angle_beta 68.26
_cell_angle_gamma 88.59
_space_group_name_H-M_alt 'P 1'
_space_group_IT_number 1
_space_group_name_Hall 'P 1'
loop_
_atom_site_label
_atom_site_type_symbol
_atom_site_fract_x
_atom_site_fract_y
_atom_site_fract_z
Bi1 Bi 0.000 0.000 0.000
P1 P 0.327 0.396 0.144
Au1 Au 0.755 0.544 0.708
S1 S 0.493 0.144 0.462
N1 N 0.138 0.642 0.295
# E_form (uncorrected) ... 0.105 eV per atom



# BiPAuSN | Alexandria | PBE | optimized geometry
data_BiPAuSN
_cell_length_a 4.179
_cell_length_b 4.636
_cell_length_c 6.132
_cell_angle_alpha 77.04
_cell_angle_beta 88.08
_cell_angle_gamma 75.20
_space_group_name_H-M_alt 'P 1'
_space_group_IT_number 1
_space_group_name_Hall 'P 1'
loop_
_atom_site_label
_atom_site_type_symbol
_atom_site_fract_x
_atom_site_fract_y
_atom_site_fract_z
Bi1 Bi 0.000 0.000 0.000
P1 P 0.129 0.424 0.632
Au1 Au 0.247 0.265 0.291
S1 S 0.510 0.577 0.806
N1 N 0.771 0.689 0.614
# E_form (uncorrected) ... 0.306 eV per atom



# BiPAuSN | Alexandria | PBE | optimized geometry
data_BiPAuSN
_cell_length_a 3.973
_cell_length_b 4.698
_cell_length_c 6.251
_cell_angle_alpha 108.97
_cell_angle_beta 92.55
_cell_angle_gamma 102.91
_space_group_name_H-M_alt 'P 1'
_space_group_IT_number 1
_space_group_name_Hall 'P 1'
loop_
_atom_site_label
_atom_site_type_symbol
_atom_site_fract_x
_atom_site_fract_y
_atom_site_fract_z
Bi1 Bi 0.000 0.000 0.000
P1 P 0.548 0.112 0.586
Au1 Au 0.119 0.444 0.669
S1 S 0.483 0.781 0.250
N1 N 0.491 0.913 0.764
# E_form (uncorrected) ... 0.093 eV per atom



# BiPAuSN | Alexandria | PBE | optimized geometry
data_BiPAuSN
_cell_length_a 3.8288
_cell_length_b 3.8288
_cell_length_c 24.8182
_cell_angle_alpha 90.00
_cell_angle_beta 90.00
_cell_angle_gamma 120.00
_space_group_name_H-M_alt 'R 3 m'
_space_group_IT_number 160
_space_group_name_Hall 'R 3 -2"'
loop_
_atom_site_label
_atom_site_type_symbol
_atom_site_fract_x
_atom_site_fract_y
_atom_site_fract_z
Bi1 Bi 0.0000 0.0000 0.0000
P1 P 0.0000 0.0000 0.5455
Au1 Au 0.0000 0.0000 0.8361
S1 S 0.0000 0.0000 0.7353
N1 N 0.0000 0.0000 0.6101
# E_form (uncorrected) ... 0.087 eV per atom



# BiPAuSN | Alexandria | PBE | optimized geometry
data_BiPAuSN
_cell_length_a 9.175
_cell_length_b 3.687
_cell_length_c 7.856
_cell_angle_alpha 90.00
_cell_angle_beta 124.26
_cell_angle_gamma 90.00
_space_group_name_H-M_alt 'C 1 m 1'
_space_group_IT_number 8
_space_group_name_Hall 'C -2y'
loop_
_atom_site_label
_atom_site_type_symbol
_atom_site_fract_x
_atom_site_fract_y
_atom_site_fract_z
Bi1 Bi 0.000 0.000 0.000
P1 P 0.112 0.000 0.722
Au1 Au 0.473 0.000 0.486
S1 S 0.322 0.500 0.231
N1 N 0.325 0.000 0.828
# E_form (uncorrected) ... 0.049 eV per atom



# PuBi2AuN | Alexandria | PBE | optimized geometry
data_PuBi2AuN
_cell_length_a 3.980
_cell_length_b 3.980
_cell_length_c 15.703
_cell_angle_alpha 90.00
_cell_angle_beta 90.00
_cell_angle_gamma 90.00
_space_group_name_H-M_alt 'P 4/n m m'
_space_group_IT_number 129
loop_
_space_group_symop_operation_xyz
'x,y,z'
'-x,-y,-z'
'-y+1/2,x,z'
'y+1/2,-x,-z'
'-x+1/2,-y+1/2,z'
'x+1/2,y+1/2,-z'
'y,-x+1/2,z'
'-y,x+1/2,-z'
'x+1/2,-y,-z'
'-x+1/2,y,z'
'-y,-x,-z'
'y,x,z'
'-x,y+1/2,-z'
'x,-y+1/2,z'
'y+1/2,x+1/2,-z'
'-y+1/2,-x+1/2,z'
loop_
_atom_site_label
_atom_site_type_symbol
_atom_site_fract_x
_atom_site_fract_y
_atom_site_fract_z
Pu1 Pu 0.250 0.250 0.067
Bi1 Bi 0.250 0.250 0.431
Bi2 Bi 0.250 0.250 0.798
Au1 Au 0.250 0.250 0.622
N1 N 0.250 0.750 0.000
# E_form (uncorrected) ... -0.479 eV per atom



# BiAuSeN2 | Alexandria | PBE | optimized geometry
data_BiAuSeN2
_cell_length_a 4.295
_cell_length_b 4.295
_cell_length_c 5.989
_cell_angle_alpha 90.00
_cell_angle_beta 90.00
_cell_angle_gamma 90.00
_space_group_name_H-M_alt 'P 4/m m m'
_space_group_IT_number 123
_space_group_name_Hall '-P 4 2'
loop_
_atom_site_label
_atom_site_type_symbol
_atom_site_fract_x
_atom_site_fract_y
_atom_site_fract_z
Bi1 Bi 0.000 0.000 0.000
Au1 Au 0.500 0.500 0.500
Se1 Se 0.000 0.000 0.500
N1 N 0.000 0.500 0.000
# E_form (uncorrected) ... 1.664 eV per atom



# BiAuSeN2 | Alexandria | PBE | optimized geometry
data_BiAuSeN2
_cell_length_a 4.205
_cell_length_b 4.205
_cell_length_c 5.313
_cell_angle_alpha 90.00
_cell_angle_beta 90.00
_cell_angle_gamma 90.00
_space_group_name_H-M_alt 'P 4/m m m'
_space_group_IT_number 123
_space_group_name_Hall '-P 4 2'
loop_
_atom_site_label
_atom_site_type_symbol
_atom_site_fract_x
_atom_site_fract_y
_atom_site_fract_z
Bi1 Bi 0.000 0.000 0.000
Au1 Au 0.500 0.500 0.500
Se1 Se 0.500 0.500 0.000
N1 N 0.000 0.500 0.500
# E_form (uncorrected) ... 1.508 eV per atom



# SnBiAu2N | Alexandria | PBE | optimized geometry
data_SnBiAu2N
_cell_length_a 4.483
_cell_length_b 4.483
_cell_length_c 5.118
_cell_angle_alpha 90.00
_cell_angle_beta 90.00
_cell_angle_gamma 90.00
_space_group_name_H-M_alt 'P 4/m m m'
_space_group_IT_number 123
_space_group_name_Hall '-P 4 2'
loop_
_atom_site_label
_atom_site_type_symbol
_atom_site_fract_x
_atom_site_fract_y
_atom_site_fract_z
Sn1 Sn 0.000 0.000 0.000
Bi1 Bi 0.500 0.500 0.000
Au1 Au 0.000 0.500 0.500
N1 N 0.000 0.000 0.500
# E_form (uncorrected) ... 0.636 eV per atom



# SnBiAu2N | Alexandria | PBE | optimized geometry
data_SnBiAu2N
_cell_length_a 5.431
_cell_length_b 5.431
_cell_length_c 3.923
_cell_angle_alpha 90.00
_cell_angle_beta 90.00
_cell_angle_gamma 90.00
_space_group_name_H-M_alt 'P 4/m m m'
_space_group_IT_number 123
_space_group_name_Hall '-P 4 2'
loop_
_atom_site_label
_atom_site_type_symbol
_atom_site_fract_x
_atom_site_fract_y
_atom_site_fract_z
Sn1 Sn 0.000 0.000 0.000
Bi1 Bi 0.500 0.500 0.500
Au1 Au 0.000 0.500 0.000
N1 N 0.000 0.000 0.500
# E_form (uncorrected) ... 0.781 eV per atom



# ThBiAuN | Alexandria | PBE | optimized geometry
data_ThBiAuN
_cell_length_a 4.406
_cell_length_b 4.406
_cell_length_c 9.495
_cell_angle_alpha 90.00
_cell_angle_beta 90.00
_cell_angle_gamma 90.00
_space_group_name_H-M_alt 'P 4/n m m'
_space_group_IT_number 129
loop_
_space_group_symop_operation_xyz
'x,y,z'
'-x,-y,-z'
'-y+1/2,x,z'
'y+1/2,-x,-z'
'-x+1/2,-y+1/2,z'
'x+1/2,y+1/2,-z'
'y,-x+1/2,z'
'-y,x+1/2,-z'
'x+1/2,-y,-z'
'-x+1/2,y,z'
'-y,-x,-z'
'y,x,z'
'-x,y+1/2,-z'
'x,-y+1/2,z'
'y+1/2,x+1/2,-z'
'-y+1/2,-x+1/2,z'
loop_
_atom_site_label
_atom_site_type_symbol
_atom_site_fract_x
_atom_site_fract_y
_atom_site_fract_z
Th1 Th 0.250 0.250 0.103
Bi1 Bi 0.250 0.750 0.500
Au1 Au 0.250 0.250 0.733
N1 N 0.250 0.750 0.000
# E_form (uncorrected) ... -0.810 eV per atom



# NaBiAu2 | Alexandria | PBE | optimized geometry
data_NaBiAu2
_cell_length_a 5.114
_cell_length_b 5.114
_cell_length_c 18.353
_cell_angle_alpha 90.00
_cell_angle_beta 90.00
_cell_angle_gamma 90.00
_space_group_name_H-M_alt 'I -4 2 d'
_space_group_IT_number 122
_space_group_name_Hall 'I -4 2bw'
loop_
_atom_site_label
_atom_site_type_symbol
_atom_site_fract_x
_atom_site_fract_y
_atom_site_fract_z
Na1 Na 0.000 0.000 0.000
Bi1 Bi 0.000 0.000 0.500
Au1 Au 0.166 0.250 0.625
# Energy of formation from the pure elements ... -0.003 eV/atom



# Na5BiAu2 | Alexandria | PBE | optimized geometry
data_Na5BiAu2
_cell_length_a 5.044
_cell_length_b 9.101
_cell_length_c 9.473
_cell_angle_alpha 90.00
_cell_angle_beta 90.00
_cell_angle_gamma 90.00
_space_group_name_H-M_alt 'I m m m'
_space_group_IT_number 71
_space_group_name_Hall '-I 2 2'
loop_
_atom_site_label
_atom_site_type_symbol
_atom_site_fract_x
_atom_site_fract_y
_atom_site_fract_z
Na1 Na 0.000 0.000 0.000
Na2 Na 0.000 0.327 0.315
Bi1 Bi 0.000 0.500 0.000
Au1 Au 0.000 0.000 0.319
# Energy of formation from the pure elements ... -0.169 eV/atom



# Na2Bi2Au | Alexandria | PBE | optimized geometry
data_Na2Bi2Au
_cell_length_a 7.388
_cell_length_b 7.388
_cell_length_c 4.972
_cell_angle_alpha 90.00
_cell_angle_beta 90.00
_cell_angle_gamma 90.00
_space_group_name_H-M_alt 'P 4/m b m'
_space_group_IT_number 127
_space_group_name_Hall '-P 4 2ab'
loop_
_atom_site_label
_atom_site_type_symbol
_atom_site_fract_x
_atom_site_fract_y
_atom_site_fract_z
Na1 Na 0.148 0.352 0.000
Bi1 Bi 0.155 0.655 0.500
Au1 Au 0.000 0.000 0.000
# Energy of formation from the pure elements ... 0.003 eV/atom